Entry 1:
YHf3Si PBE relaxed; formation energy from raw total energies = 0.1452 eV per atom; energy relative to the lowest polymorph listed for this composition = 0 meV/atom; total moment = 0.00 μB/f.u.; density = 8.6 g/cm³
1.0
5.014 0.000 0.000
0.000 5.014 0.000
0.000 0.000 5.014
Y Si Hf
1 1 3
direct
0.500 0.500 0.500 Y
0.000 0.000 0.000 Si
0.000 0.500 0.000 Hf
0.000 0.000 0.500 Hf
0.500 0.000 0.000 Hf


Entry 2:
TlIn2GeH PBE relaxed; uncorrected energy = -0.109 Ha/atom; total moment = 0.00 μB/f.u.; density = 7.4 g/cm³
1.0
-0.371 3.970 -4.008
-3.851 -3.113 -2.727
-2.587 1.601 1.825
H Tl Ge In
1 1 1 2
direct
0.000 0.000 0.500 H
0.500 0.500 0.500 Tl
0.000 0.000 0.000 Ge
0.000 0.500 0.000 In
0.500 0.000 0.000 In


Entry 3:
K3UCd2S6 PBE relaxed; formation energy from raw total energies = -1.0851 eV per atom; total moment = 1.00 μB/f.u.; density = 4.2 g/cm³
1.0
6.898 -0.009 0.004
-3.455 5.970 0.004
-1.144 -1.981 7.381
K U Cd S
3 1 2 6
direct
0.172 0.828 0.500 K
0.828 0.172 0.500 K
0.500 0.500 0.500 K
0.000 0.000 0.000 U
0.334 0.666 0.000 Cd
0.666 0.334 0.000 Cd
0.932 0.613 0.798 S
0.750 0.750 0.204 S
0.068 0.387 0.202 S
0.613 0.932 0.798 S
0.250 0.250 0.796 S
0.387 0.068 0.202 S


Entry 4:
TaIn2SiW PBE relaxed; formation energy from raw total energies = 1.5779 eV per atom; total moment = 0.00 μB/f.u.; density = 9.4 g/cm³
1.0
4.830 0.000 0.000
0.000 4.736 0.000
0.000 0.000 4.830
Si In W Ta
1 2 1 1
direct
0.000 0.000 0.000 Si
0.000 0.000 0.500 In
0.500 0.000 0.000 In
0.500 0.500 0.500 W
0.000 0.500 0.000 Ta


Entry 5:
Nb3PI PBE relaxed; formation energy from raw total energies = 1.8989 eV per atom; energy relative to the lowest polymorph listed for this composition = 1397 meV/atom; total moment = 0.00 μB/f.u.; density = 5.8 g/cm³
1.0
5.006 0.000 0.000
0.000 5.006 0.000
0.000 0.000 5.006
I P Nb
1 1 3
direct
0.000 0.000 0.000 I
0.500 0.500 0.500 P
0.000 0.500 0.000 Nb
0.000 0.000 0.500 Nb
0.500 0.000 0.000 Nb


Entry 6:
BeSe2I PBE relaxed; formation energy from raw total energies = 0.0683 eV per atom; energy relative to the lowest polymorph listed for this composition = 123 meV/atom; total moment = 0.00 μB/f.u.; density = 4.8 g/cm³
1.0
6.491 0.000 0.000
0.000 6.491 0.000
3.246 3.246 4.875
I Be Se
2 2 4
direct
0.000 0.000 0.000 I
0.750 0.250 0.500 I
0.500 0.500 0.000 Be
0.250 0.750 0.500 Be
0.515 0.125 0.250 Se
0.235 0.625 0.250 Se
0.375 0.485 0.750 Se
0.875 0.765 0.750 Se


Entry 7:
RbRe2Te PBE relaxed; formation energy from raw total energies = 1.2935 eV per atom; total moment = 1.78 μB/f.u.; density = 8.3 g/cm³
1.0
4.937 0.000 0.000
0.000 4.937 0.000
2.468 2.468 9.602
Re Te Rb
4 2 2
direct
0.912 0.125 0.250 Re
0.838 0.625 0.250 Re
0.375 0.088 0.750 Re
0.875 0.162 0.750 Re
0.000 0.000 0.000 Te
0.750 0.250 0.500 Te
0.500 0.500 0.000 Rb
0.250 0.750 0.500 Rb


Entry 8:
YInSb PBE relaxed; formation energy from raw total energies = -0.3439 eV per atom; total moment = 0.00 μB/f.u.; density = 6.5 g/cm³
1.0
-2.782 4.332 -0.365
-1.428 -3.715 3.286
2.011 1.509 2.580
In Sb Y
1 1 1
direct
0.000 0.000 0.157 In
0.333 0.667 0.175 Sb
0.667 0.333 0.668 Y


Entry 9:
CsGePd3 PBE relaxed; energy relative to the lowest polymorph listed for this composition = 1397 meV/atom; total moment = 0.00 μB/f.u.; density = 6.0 g/cm³
1.0
5.248 0.000 0.000
0.000 5.248 0.000
0.000 0.000 5.248
Cs Ge Pd
1 1 3
direct
0.000 0.000 0.000 Cs
0.500 0.500 0.500 Ge
0.000 0.500 0.000 Pd
0.000 0.000 0.500 Pd
0.500 0.000 0.000 Pd


Entry 10:
FeRe2BiP PBE relaxed; uncorrected energy = -0.207 Ha/atom; total moment = 5.18 μB/f.u.; density = 9.2 g/cm³
1.0
5.048 0.000 0.000
0.000 4.757 0.000
0.000 0.000 5.048
Re Bi P Fe
2 1 1 1
direct
0.000 0.000 0.500 Re
0.500 0.000 0.000 Re
0.000 0.000 0.000 Bi
0.500 0.500 0.500 P
0.000 0.500 0.000 Fe


Entry 11:
Na3Cd5Br12 PBE relaxed; formation energy from raw total energies = -0.9689 eV per atom; total moment = 0.00 μB/f.u.; density = 4.0 g/cm³
1.0
-5.715 13.617 3.231
-6.042 -10.324 9.243
15.000 0.262 1.856
Na Cd Br
12 20 48
direct
0.750 0.375 0.125 Na
0.875 0.750 0.125 Na
0.375 0.750 0.625 Na
0.250 0.125 0.375 Na
0.875 0.125 0.250 Na
0.375 0.625 0.250 Na
0.625 0.375 0.750 Na
0.125 0.875 0.750 Na
0.750 0.875 0.625 Na
0.625 0.250 0.375 Na
0.125 0.250 0.875 Na
0.250 0.625 0.875 Na
0.125 0.375 0.250 Cd
0.000 0.500 0.000 Cd
0.000 0.000 0.000 Cd
0.375 0.250 0.125 Cd
0.500 0.000 0.500 Cd
0.500 0.500 0.000 Cd
0.125 0.750 0.375 Cd
0.750 0.125 0.875 Cd
0.750 0.625 0.375 Cd
0.375 0.125 0.750 Cd
0.625 0.875 0.250 Cd
0.500 0.500 0.500 Cd
0.500 0.000 0.000 Cd
0.000 0.000 0.500 Cd
0.250 0.375 0.625 Cd
0.250 0.875 0.125 Cd
0.000 0.500 0.500 Cd
0.875 0.250 0.625 Cd
0.625 0.750 0.875 Cd
0.875 0.625 0.750 Cd
0.711 0.125 0.035 Br
0.323 0.535 0.410 Br
0.965 0.375 0.289 Br
0.535 0.211 0.125 Br
0.587 0.711 0.677 Br
0.965 0.590 0.177 Br
0.323 0.789 0.413 Br
0.090 0.913 0.125 Br
0.590 0.965 0.677 Br
0.711 0.587 0.177 Br
0.789 0.465 0.375 Br
0.823 0.910 0.035 Br
0.125 0.711 0.535 Br
0.375 0.410 0.087 Br
0.087 0.910 0.375 Br
0.413 0.125 0.590 Br
0.087 0.177 0.211 Br
0.465 0.677 0.090 Br
0.823 0.913 0.289 Br
0.125 0.413 0.090 Br
0.375 0.965 0.789 Br
0.590 0.625 0.413 Br
0.910 0.823 0.535 Br
0.789 0.323 0.913 Br
0.410 0.375 0.587 Br
0.090 0.177 0.465 Br
0.211 0.677 0.087 Br
0.177 0.087 0.711 Br
0.625 0.035 0.211 Br
0.875 0.587 0.910 Br
0.535 0.323 0.910 Br
0.587 0.875 0.410 Br
0.913 0.823 0.789 Br
0.913 0.090 0.625 Br
0.875 0.289 0.465 Br
0.177 0.090 0.965 Br
0.625 0.590 0.913 Br
0.410 0.035 0.323 Br
0.289 0.413 0.823 Br
0.211 0.535 0.625 Br
0.910 0.087 0.875 Br
0.677 0.211 0.587 Br
0.465 0.789 0.875 Br
0.035 0.410 0.823 Br
0.413 0.289 0.323 Br
0.035 0.625 0.711 Br
0.677 0.465 0.590 Br
0.289 0.875 0.965 Br


Entry 12:
Sr3LiHo2Te6 PBE relaxed; formation energy from raw total energies = -1.4858 eV per atom; total moment = 0.00 μB/f.u.; density = 5.7 g/cm³
1.0
7.823 0.000 0.000
-3.909 6.776 0.000
-1.305 -2.260 7.448
Sr Li Ho Te
3 1 2 6
direct
0.166 0.834 0.500 Sr
0.834 0.166 0.500 Sr
0.500 0.500 0.500 Sr
0.000 0.000 0.000 Li
0.333 0.667 0.000 Ho
0.667 0.333 0.000 Ho
0.925 0.591 0.774 Te
0.742 0.742 0.226 Te
0.075 0.409 0.226 Te
0.591 0.925 0.774 Te
0.258 0.258 0.774 Te
0.409 0.075 0.226 Te